# LiCoPO4 PBE+U optimized geometry
data_LiCoPO4
_symmetry_space_group_name_H-M 'C 1 2 1'
_symmetry_Int_Tables_number 5
_cell_length_a 9.255
_cell_length_b 4.805
_cell_length_c 7.560
_cell_angle_alpha 90.00
_cell_angle_beta 105.28
_cell_angle_gamma 90.00
loop_
_symmetry_equiv_pos_as_xyz
'x,y,z'
'-x,y,-z'
'x+1/2,y+1/2,z'
'-x+1/2,y+1/2,-z'
loop_
_atom_site_label
_atom_site_type_symbol
_atom_site_fract_x
_atom_site_fract_y
_atom_site_fract_z
Li1 Li 0.000 0.000 0.000
Li2 Li 0.000 0.062 0.500
Co1 Co 0.166 0.559 0.305
P1 P 0.167 0.612 0.735
O1 O 0.039 0.713 0.816
O2 O 0.151 0.294 0.699
O3 O 0.156 0.765 0.546
O4 O 0.177 0.206 0.148
# Total magnetization = 12.107 μB/cell
# Distance to the lowest polymorph of the same formula = 0.075 eV/atom
# Crystal system = monoclinic
# Theoretical density = 3.29 g cm⁻³